(1)
# Y4InCo PBE relaxed
data_Y4InCo
_cell_length_a 8.741
_cell_length_b 8.741
_cell_length_c 8.741
_cell_angle_alpha 90.00
_cell_angle_beta 90.00
_cell_angle_gamma 90.00
_symmetry_space_group_name_H-M 'F -4 3 m'
_symmetry_Int_Tables_number 216
_symmetry_space_group_name_Hall 'F -4 2 3'
loop_
_atom_site_label
_atom_site_fract_x
_atom_site_fract_y
_atom_site_fract_z
Y1 0.125 0.125 0.125
In1 0.000 0.000 0.500
Co1 0.250 0.250 0.750
# energy above the lowest structure with this stoichiometry: 923 meV per atom



(2)
A plane-wave DFT calculation with PBE was carried out for crystalline Tb2CeNd6Ho at its relaxed geometry.

```
data_Tb2CeNd6Ho
_cell_length_a 11.348
_cell_length_b 7.062
_cell_length_c 8.883
_cell_angle_alpha 90.00
_cell_angle_beta 103.92
_cell_angle_gamma 90.00
_symmetry_space_group_name_H-M 'C 1 2/m 1'
_symmetry_Int_Tables_number 12
_symmetry_space_group_name_Hall '-C 2y'
loop_
_atom_site_label
_atom_site_fract_x
_atom_site_fract_y
_atom_site_fract_z
Tb1 0.091 0.000 0.165
Ce1 0.000 0.500 0.000
Nd1 0.125 0.500 0.416
Nd2 0.173 0.234 0.797
Ho1 0.000 0.000 0.500
```



(3)
# Pm4Pr3Sm4 PBE relaxed
data_Pm4Pr3Sm4
_cell_length_a 3.611
_cell_length_b 11.522
_cell_length_c 18.831
_cell_angle_alpha 90.00
_cell_angle_beta 90.00
_cell_angle_gamma 90.00
_symmetry_space_group_name_H-M 'I m m m'
_symmetry_Int_Tables_number 71
_symmetry_space_group_name_Hall '-I 2 2'
loop_
_atom_site_label
_atom_site_fract_x
_atom_site_fract_y
_atom_site_fract_z
Pm1 0.000 0.000 0.218
Pm2 0.000 0.215 0.500
Pr1 0.000 0.000 0.000
Pr2 0.000 0.500 0.106
Sm1 0.000 0.255 0.329
# energy above the lowest structure with this stoichiometry: 13 meV per atom



Number 1: formation enthalpy at 0 K 3.7 eV/f.u., spin magnetization 7.67 Bohr magnetons per cell, E -5.34 eV per atom. Number 2: formation enthalpy at 0 K 2.4 eV/f.u., spin magnetization 2.24 Bohr magnetons per cell, E -4.60 eV per atom. Number 3: formation enthalpy at 0 K 1.8 eV/f.u., spin magnetization 0.00 Bohr magnetons per cell, E -4.59 eV per atom.